No. 1
A plane-wave DFT calculation with PBE-GGA was carried out for a relaxed GeSeN2 crystal.

energy above the most stable polymorph in this dataset = 957.1 meV/atom
raw total energy = -5.319 eV per atom
space-group type = No. 122
calculated density = 5.427 Mg/m³

abc: 5.2314 5.2314 5.4602
angles: 61.38 61.38 90.00
Element x y z (fractional)
Ge1 0.5000 0.5000 0.0000
Ge2 0.2500 0.7500 0.5000
Se1 0.0000 0.0000 0.0000
Se2 0.7500 0.2500 0.5000
N1 0.5508 0.1250 0.2500
N2 0.1992 0.6250 0.2500
N3 0.3750 0.4492 0.7500
N4 0.8750 0.8008 0.7500

=====

No. 2
A plane-wave DFT calculation with PBE-GGA was carried out for a relaxed TaTlS2 crystal.

raw total energy = -5.993 eV per atom
space-group type = No. 160
calculated density = 7.211 Mg/m³

abc: 9.2837 9.2837 9.2837
angles: 22.58 22.58 22.58
Element x y z (fractional)
Tl1 0.5065 0.5065 0.5065
S1 0.0961 0.0961 0.0961
S2 0.6354 0.6354 0.6354
Ta1 0.0129 0.0129 0.0129

=====

No. 3
A plane-wave DFT calculation with PBE-GGA was carried out for a relaxed LiTmPdRu crystal.

raw total energy = -5.510 eV per atom
space-group type = No. 216
calculated density = 9.632 Mg/m³

abc: 4.5383 4.5383 4.5383
angles: 60.00 60.00 60.00
Element x y z (fractional)
Ru1 0.2500 0.2500 0.2500
Tm1 0.5000 0.5000 0.5000
Pd1 0.7500 0.7500 0.7500
Li1 0.0000 0.0000 0.0000

=====

No. 4
A plane-wave DFT calculation with PBE-GGA was carried out for a relaxed Cs3AcAg2I9 crystal.

raw total energy = -2.821 eV per atom
space-group type = No. 164
calculated density = 4.699 Mg/m³

abc: 8.6476 8.6476 10.8244
angles: 90.00 90.00 120.00
Element x y z (fractional)
Cs1 0.3333 0.6667 0.6953
Cs2 0.0000 0.0000 0.0000
Cs3 0.6667 0.3333 0.3047
Ac1 0.0000 0.0000 0.5000
Ag1 0.3333 0.6667 0.1443
Ag2 0.6667 0.3333 0.8557
I1 0.8267 0.1733 0.6771
I2 0.8267 0.6533 0.6771
I3 0.3467 0.1733 0.6771
I4 0.6533 0.8267 0.3229
I5 0.1733 0.3467 0.3229
I6 0.1733 0.8267 0.3229
I7 0.5000 0.0000 0.0000
I8 0.0000 0.5000 0.0000
I9 0.5000 0.5000 0.0000

=====

No. 5
A plane-wave DFT calculation with PBE-GGA was carried out for a relaxed NdHfCuIr crystal.

raw total energy = -7.263 eV per atom
space-group type = No. 216
calculated density = 12.051 Mg/m³

abc: 4.8308 4.8308 4.8308
angles: 60.00 60.00 60.00
Element x y z (fractional)
Nd1 0.5000 0.5000 0.5000
Ir1 0.2500 0.2500 0.2500
Hf1 0.0000 0.0000 0.0000
Cu1 0.7500 0.7500 0.7500

=====

No. 6
A plane-wave DFT calculation with PBE-GGA was carried out for a relaxed LiGa3Cu3 crystal.

energy above the most stable polymorph in this dataset = 0.0 meV/atom
raw total energy = -3.464 eV per atom
space-group type = No. 148
calculated density = 6.292 Mg/m³

abc: 7.0998 7.0998 6.4025
angles: 56.33 56.33 60.00
Element x y z (fractional)
Li1 0.3324 0.3324 0.0028
Li2 0.6676 0.6676 0.9972
Ga1 0.4626 0.7777 0.6421
Ga2 0.7777 0.1175 0.6421
Ga3 0.1175 0.4626 0.6421
Ga4 0.8825 0.5374 0.3579
Ga5 0.2223 0.8825 0.3579
Ga6 0.5374 0.2223 0.3579
Cu1 0.2633 0.6445 0.1404
Cu2 0.9518 0.2633 0.1404
Cu3 0.6445 0.9518 0.1404
Cu4 0.3555 0.0482 0.8596
Cu5 0.0482 0.7367 0.8596
Cu6 0.7367 0.3555 0.8596